1.
# Zr4Cu3Rh (PBE, optimized geometry)
# Total DFT energy (no corrections) in eV/atom: -7.020
# ρ in g/cm³: 7.71
# Magnetization in μB/f.u.: 0.0
data_Zr4Cu3Rh
_chemical_formula_sum 'Zr4 Cu3 Rh1'
_space_group_name_H-M_alt 'P 1'
_space_group_IT_number 1
_cell_length_a 8.0765
_cell_length_b 8.0765
_cell_length_c 8.0765
_cell_angle_alpha 33.35
_cell_angle_beta 33.35
_cell_angle_gamma 33.35
loop_
_space_group_symop_operation_xyz
'x,y,z'
loop_
_atom_site_label
_atom_site_type_symbol
_atom_site_fract_x
_atom_site_fract_y
_atom_site_fract_z
Zr1 Zr 0.1244 0.1244 0.1244
Zr2 Zr 0.3746 0.3746 0.3746
Zr3 Zr 0.6254 0.6254 0.6254
Zr4 Zr 0.8756 0.8756 0.8756
Cu1 Cu 0.2456 0.2456 0.2456
Cu2 Cu 0.5000 0.5000 0.5000
Cu3 Cu 0.7544 0.7544 0.7544
Rh1 Rh 0.0000 0.0000 0.0000



2.
# Dy12Tm6Cd (PBE, optimized geometry)
# ΔE to the lowest computed polymorph in eV/atom: 0.018
# ρ in g/cm³: 8.53
# Magnetization in μB/f.u.: 0.0
data_Dy12Tm6Cd
_chemical_formula_sum 'Dy12 Tm6 Cd1'
_space_group_name_H-M_alt 'P 1'
_space_group_IT_number 1
_cell_length_a 8.5018
_cell_length_b 8.5018
_cell_length_c 8.5018
_cell_angle_alpha 97.23
_cell_angle_beta 97.23
_cell_angle_gamma 97.23
loop_
_space_group_symop_operation_xyz
'x,y,z'
loop_
_atom_site_label
_atom_site_type_symbol
_atom_site_fract_x
_atom_site_fract_y
_atom_site_fract_z
Dy1 Dy 0.0000 0.2602 0.7398
Dy2 Dy 0.0000 0.7398 0.2602
Dy3 Dy 0.1691 0.5828 0.5828
Dy4 Dy 0.2602 0.0000 0.7398
Dy5 Dy 0.2602 0.7398 0.0000
Dy6 Dy 0.4172 0.4172 0.8309
Dy7 Dy 0.4172 0.8309 0.4172
Dy8 Dy 0.5828 0.1691 0.5828
Dy9 Dy 0.5828 0.5828 0.1691
Dy10 Dy 0.7398 0.0000 0.2602
Dy11 Dy 0.7398 0.2602 0.0000
Dy12 Dy 0.8309 0.4172 0.4172
Tm1 Tm 0.1366 0.1366 0.4079
Tm2 Tm 0.1366 0.4079 0.1366
Tm3 Tm 0.4079 0.1366 0.1366
Tm4 Tm 0.5921 0.8634 0.8634
Tm5 Tm 0.8634 0.5921 0.8634
Tm6 Tm 0.8634 0.8634 0.5921
Cd1 Cd 0.0000 0.0000 0.0000



3.
# TbNd3 (PBE, optimized geometry)
# ΔE to the lowest computed polymorph in eV/atom: 0.012
# ρ in g/cm³: 7.05
# Magnetization in μB/f.u.: 0.0
data_TbNd3
_chemical_formula_sum 'Tb2 Nd6'
_space_group_name_H-M_alt 'P 1'
_space_group_IT_number 1
_cell_length_a 7.3978
_cell_length_b 7.3978
_cell_length_c 5.8792
_cell_angle_alpha 90.00
_cell_angle_beta 90.00
_cell_angle_gamma 120.00
loop_
_space_group_symop_operation_xyz
'x,y,z'
loop_
_atom_site_label
_atom_site_type_symbol
_atom_site_fract_x
_atom_site_fract_y
_atom_site_fract_z
Tb1 Tb 0.3333 0.6667 0.2500
Tb2 Tb 0.6667 0.3333 0.7500
Nd1 Nd 0.1673 0.3345 0.7500
Nd2 Nd 0.1673 0.8327 0.7500
Nd3 Nd 0.3345 0.1673 0.2500
Nd4 Nd 0.6655 0.8327 0.7500
Nd5 Nd 0.8327 0.1673 0.2500
Nd6 Nd 0.8327 0.6655 0.2500



4.
# Li3SmSb2 (PBE, optimized geometry)
# ΔE to the lowest computed polymorph in eV/atom: 0.000
# ρ in g/cm³: 5.21
# ΔE_f (raw) in eV/atom: -0.836
# Magnetization in μB/f.u.: 0.0
data_Li3SmSb2
_chemical_formula_sum 'Li3 Sm1 Sb2'
_space_group_name_H-M_alt 'P 1'
_space_group_IT_number 1
_cell_length_a 4.5809
_cell_length_b 4.5809
_cell_length_c 7.2670
_cell_angle_alpha 90.00
_cell_angle_beta 90.00
_cell_angle_gamma 120.00
loop_
_space_group_symop_operation_xyz
'x,y,z'
loop_
_atom_site_label
_atom_site_type_symbol
_atom_site_fract_x
_atom_site_fract_y
_atom_site_fract_z
Li1 Li 0.0000 0.0000 0.0000
Li2 Li 0.3333 0.6667 0.1477
Li3 Li 0.6667 0.3333 0.8523
Sm1 Sm 0.0000 0.0000 0.5000
Sb1 Sb 0.3333 0.6667 0.7528
Sb2 Sb 0.6667 0.3333 0.2472



5.
# LaDy2InHg4 (PBE, optimized geometry)
# Total DFT energy (no corrections) in eV/atom: -2.674
# ρ in g/cm³: 10.73
# Magnetization in μB/f.u.: 0.0
data_LaDy2InHg4
_chemical_formula_sum 'La1 Dy2 In1 Hg4'
_space_group_name_H-M_alt 'P 1'
_space_group_IT_number 1
_cell_length_a 9.8668
_cell_length_b 9.8668
_cell_length_c 9.8668
_cell_angle_alpha 30.07
_cell_angle_beta 30.07
_cell_angle_gamma 30.07
loop_
_space_group_symop_operation_xyz
'x,y,z'
loop_
_atom_site_label
_atom_site_type_symbol
_atom_site_fract_x
_atom_site_fract_y
_atom_site_fract_z
La1 La 0.0000 0.0000 0.0000
Dy1 Dy 0.2360 0.2360 0.2360
Dy2 Dy 0.7640 0.7640 0.7640
In1 In 0.5000 0.5000 0.5000
Hg1 Hg 0.1215 0.1215 0.1215
Hg2 Hg 0.3828 0.3828 0.3828
Hg3 Hg 0.6172 0.6172 0.6172
Hg4 Hg 0.8785 0.8785 0.8785



6.
# TeS3N2 (PBE, optimized geometry)
# ΔE to the lowest computed polymorph in eV/atom: 0.000
# ρ in g/cm³: 2.32
# ΔE_f (raw) in eV/atom: 0.478
# Magnetization in μB/f.u.: 0.0
data_TeS3N2
_chemical_formula_sum 'Te4 S12 N8'
_space_group_name_H-M_alt 'P 1'
_space_group_IT_number 1
_cell_length_a 12.9216
_cell_length_b 9.5464
_cell_length_c 5.8376
_cell_angle_alpha 90.00
_cell_angle_beta 90.00
_cell_angle_gamma 90.00
loop_
_space_group_symop_operation_xyz
'x,y,z'
loop_
_atom_site_label
_atom_site_type_symbol
_atom_site_fract_x
_atom_site_fract_y
_atom_site_fract_z
Te1 Te 0.1916 0.2500 0.1656
Te2 Te 0.3084 0.7500 0.6656
Te3 Te 0.6916 0.2500 0.3344
Te4 Te 0.8084 0.7500 0.8344
S1 S 0.0746 0.7500 0.2878
S2 S 0.1810 0.5638 0.6147
S3 S 0.1810 0.9362 0.6147
S4 S 0.3190 0.0638 0.1147
S5 S 0.3190 0.4362 0.1147
S6 S 0.4254 0.2500 0.7878
S7 S 0.5746 0.7500 0.2122
S8 S 0.6810 0.5638 0.8853
S9 S 0.6810 0.9362 0.8853
S10 S 0.8190 0.0638 0.3853
S11 S 0.8190 0.4362 0.3853
S12 S 0.9254 0.2500 0.7122
N1 N 0.1120 0.6042 0.3846
N2 N 0.1120 0.8958 0.3846
N3 N 0.3880 0.1042 0.8846
N4 N 0.3880 0.3958 0.8846
N5 N 0.6120 0.6042 0.1154
N6 N 0.6120 0.8958 0.1154
N7 N 0.8880 0.1042 0.6154
N8 N 0.8880 0.3958 0.6154



7.
# Cs2TaAlI6 (PBE, optimized geometry)
# ρ in g/cm³: 4.68
# ΔE_f (raw) in eV/atom: -0.692
# Magnetization in μB/f.u.: 2.0
data_Cs2TaAlI6
_chemical_formula_sum 'Cs2 Ta1 Al1 I6'
_space_group_name_H-M_alt 'P 1'
_space_group_IT_number 1
_cell_length_a 8.5249
_cell_length_b 8.5249
_cell_length_c 8.5249
_cell_angle_alpha 60.00
_cell_angle_beta 60.00
_cell_angle_gamma 60.00
loop_
_space_group_symop_operation_xyz
'x,y,z'
loop_
_atom_site_label
_atom_site_type_symbol
_atom_site_fract_x
_atom_site_fract_y
_atom_site_fract_z
Cs1 Cs 0.2500 0.2500 0.2500
Cs2 Cs 0.7500 0.7500 0.7500
Ta1 Ta 0.0000 0.0000 0.0000
Al1 Al 0.5000 0.5000 0.5000
I1 I 0.2371 0.2371 0.7629
I2 I 0.2371 0.7629 0.2371
I3 I 0.2371 0.7629 0.7629
I4 I 0.7629 0.2371 0.2371
I5 I 0.7629 0.2371 0.7629
I6 I 0.7629 0.7629 0.2371



8.
# MgPa2Ge (PBE, optimized geometry)
# ΔE to the lowest computed polymorph in eV/atom: 0.000
# ρ in g/cm³: 10.68
# Magnetization in μB/f.u.: 0.6
data_MgPa2Ge
_chemical_formula_sum 'Mg1 Pa2 Ge1'
_space_group_name_H-M_alt 'P 1'
_space_group_IT_number 1
_cell_length_a 4.2463
_cell_length_b 4.2463
_cell_length_c 4.8218
_cell_angle_alpha 90.00
_cell_angle_beta 90.00
_cell_angle_gamma 90.00
loop_
_space_group_symop_operation_xyz
'x,y,z'
loop_
_atom_site_label
_atom_site_type_symbol
_atom_site_fract_x
_atom_site_fract_y
_atom_site_fract_z
Mg1 Mg 0.0000 0.0000 0.0000
Pa1 Pa 0.0000 0.5000 0.5000
Pa2 Pa 0.5000 0.0000 0.5000
Ge1 Ge 0.5000 0.5000 0.0000



9.
# Tm4RuPb5 (PBE, optimized geometry)
# Total DFT energy (no corrections) in eV/atom: -4.769
# ρ in g/cm³: 10.33
# Magnetization in μB/f.u.: 0.0
data_Tm4RuPb5
_chemical_formula_sum 'Tm4 Ru1 Pb5'
_space_group_name_H-M_alt 'P 1'
_space_group_IT_number 1
_cell_length_a 8.8951
_cell_length_b 8.8951
_cell_length_c 9.8568
_cell_angle_alpha 104.53
_cell_angle_beta 104.53
_cell_angle_gamma 22.74
loop_
_space_group_symop_operation_xyz
'x,y,z'
loop_
_atom_site_label
_atom_site_type_symbol
_atom_site_fract_x
_atom_site_fract_y
_atom_site_fract_z
Tm1 Tm 0.0149 0.0149 0.2180
Tm2 Tm 0.3457 0.3457 0.9596
Tm3 Tm 0.6543 0.6543 0.0404
Tm4 Tm 0.9851 0.9851 0.7820
Ru1 Ru 0.5000 0.5000 0.0000
Pb1 Pb 0.1634 0.1634 0.7513
Pb2 Pb 0.2047 0.2047 0.3587
Pb3 Pb 0.5000 0.5000 0.5000
Pb4 Pb 0.7953 0.7953 0.6413
Pb5 Pb 0.8366 0.8366 0.2487



10.
# CuGeO2 (PBE, optimized geometry)
# ρ in g/cm³: 5.37
# ΔE_f (raw) in eV/atom: -0.728
# Magnetization in μB/f.u.: 0.0
data_CuGeO2
_chemical_formula_sum 'Cu2 Ge2 O4'
_space_group_name_H-M_alt 'P 1'
_space_group_IT_number 1
_cell_length_a 5.7793
_cell_length_b 5.7793
_cell_length_c 5.7793
_cell_angle_alpha 132.15
_cell_angle_beta 132.15
_cell_angle_gamma 70.00
loop_
_space_group_symop_operation_xyz
'x,y,z'
loop_
_atom_site_label
_atom_site_type_symbol
_atom_site_fract_x
_atom_site_fract_y
_atom_site_fract_z
Cu1 Cu 0.0000 0.0000 0.0000
Cu2 Cu 0.7500 0.2500 0.5000
Ge1 Ge 0.2500 0.7500 0.5000
Ge2 Ge 0.5000 0.5000 0.0000
O1 O 0.1611 0.6250 0.0361
O2 O 0.3750 0.4111 0.5361
O3 O 0.5889 0.1250 0.9639
O4 O 0.8750 0.8389 0.4639



11.
# AgPRu2 (PBE, optimized geometry)
# ΔE to the lowest computed polymorph in eV/atom: 0.217
# ρ in g/cm³: 9.32
# Magnetization in μB/f.u.: 0.4
data_AgPRu2
_chemical_formula_sum 'Ag1 P1 Ru2'
_space_group_name_H-M_alt 'P 1'
_space_group_IT_number 1
_cell_length_a 2.8226
_cell_length_b 2.8226
_cell_length_c 7.6252
_cell_angle_alpha 90.00
_cell_angle_beta 90.00
_cell_angle_gamma 90.00
loop_
_space_group_symop_operation_xyz
'x,y,z'
loop_
_atom_site_label
_atom_site_type_symbol
_atom_site_fract_x
_atom_site_fract_y
_atom_site_fract_z
Ag1 Ag 0.0000 0.0000 0.0000
P1 P 0.5000 0.5000 0.3001
Ru1 Ru 0.0000 0.0000 0.4859
Ru2 Ru 0.5000 0.5000 0.7244



12.
# AcPmThSn (PBE, optimized geometry)
# Total DFT energy (no corrections) in eV/atom: -5.187
# ρ in g/cm³: 9.36
# Magnetization in μB/f.u.: 0.0
data_AcPmThSn
_chemical_formula_sum 'Ac1 Pm1 Th1 Sn1'
_space_group_name_H-M_alt 'P 1'
_space_group_IT_number 1
_cell_length_a 5.6592
_cell_length_b 5.6592
_cell_length_c 5.6592
_cell_angle_alpha 60.00
_cell_angle_beta 60.00
_cell_angle_gamma 60.00
loop_
_space_group_symop_operation_xyz
'x,y,z'
loop_
_atom_site_label
_atom_site_type_symbol
_atom_site_fract_x
_atom_site_fract_y
_atom_site_fract_z
Ac1 Ac 0.0000 0.0000 0.0000
Pm1 Pm 0.2500 0.2500 0.2500
Th1 Th 0.7500 0.7500 0.7500
Sn1 Sn 0.5000 0.5000 0.5000



Question: Which of these has the lowest ρ?
Answer: TeS3N2